Record 1
10
Lattice="6.580 0.000 0.000 0.000 4.317 0.000 -0.466 0.000 10.555" Properties=species:S:1:pos:R:3 comment="SbTeS3 GGA-PBE relaxed" relative_energy_ev_per_atom=0.033 formation_energy_uncorrected_ev_per_atom=-0.01 pbc="T T T"
Sb 0.707 1.079 1.404
Sb 5.406 3.238 9.151
Te 1.450 1.079 5.993
Te 4.663 3.238 4.562
S 0.091 3.238 3.116
S 0.986 3.238 10.319
S 2.422 3.238 6.794
S 3.691 1.079 3.761
S 5.127 1.079 0.236
S 6.022 1.079 7.439

Record 2
5
Lattice="4.999 0.000 0.000 0.000 4.999 0.000 0.000 0.000 4.999" Properties=species:S:1:pos:R:3 comment="SbTeS3 GGA-PBE relaxed" relative_energy_ev_per_atom=0.608 formation_energy_uncorrected_ev_per_atom=0.56 pbc="T T T"
Sb 0.000 0.000 0.000
Te 2.499 2.499 2.499
S 0.000 0.000 2.499
S 0.000 2.499 0.000
S 2.499 0.000 0.000

Record 3
4
Lattice="2.266 1.308 6.072 -2.266 1.308 6.072 0.000 -2.616 6.072" Properties=species:S:1:pos:R:3 comment="Sb2TeS GGA-PBE relaxed" relative_energy_ev_per_atom=0.000 formation_energy_uncorrected_ev_per_atom=0.04 pbc="T T T"
Sb 0.000 0.000 4.296
Sb 0.000 0.000 13.921
Te 0.000 0.000 0.000
S 0.000 0.000 9.109

Record 4
5
Lattice="5.715 0.000 0.000 0.000 5.715 0.000 0.000 0.000 5.715" Properties=species:S:1:pos:R:3 comment="Sb3TeS GGA-PBE relaxed" relative_energy_ev_per_atom=0.627 formation_energy_uncorrected_ev_per_atom=1.16 pbc="T T T"
Sb 0.000 0.000 2.858
Sb 0.000 2.858 0.000
Sb 2.858 0.000 0.000
Te 0.000 0.000 0.000
S 2.858 2.858 2.858